CaCuSi | PBE | relaxed

abc: 5.8950 5.8950 3.1912
angles: 74.29 74.30 31.41
Element x y z (fractional)
Si 0.7015 0.7015 0.2985
Ca 0.9988 0.9988 0.0012
Cu 0.2997 0.2997 0.7003

Properties
**Total energy**: -3.90 eV per atom
**DOS(E_F)**: 1.25 states/eV/f.u.
**Calculated density**: 3944 kg/m3
**Energy relative to the elements, uncorrected**: -62 meV/atom